(1)
Compound: Tb2Sm3Tl
Source: Alexandria
Functional: PBE-GGA
Structure: optimized geometry

Cell: 17.338 6.832 6.505 Å, 90.00 99.31 90.00°
Space group C2/c (No. 15)
Symmetry-distinct sites (fractional):
1 Tb 0.162 0.106 0.075 (multiplicity 8)
2 Sm 0.000 0.271 0.750 (multiplicity 4)
3 Sm 0.168 0.384 0.540 (multiplicity 8)
4 Tl 0.000 0.220 0.250 (multiplicity 4)

Computed properties:
Offset from the most stable computed form (meV per atom): 41

***

(2)
Compound: Y2BeFePb
Source: Alexandria
Functional: PBE-GGA
Structure: optimized geometry

Cell: 5.070 5.070 4.933 Å, 90.00 90.00 90.00°
Space group P4/mmm (No. 123)
Symmetry-distinct sites (fractional):
1 Y 0.000 0.500 0.000 (multiplicity 2)
2 Be 0.000 0.000 0.500 (multiplicity 1)
3 Fe 0.500 0.500 0.000 (multiplicity 1)
4 Pb 0.500 0.500 0.500 (multiplicity 1)

***

(3)
Compound: Pm12Mn3C5
Source: Alexandria
Functional: PBE-GGA
Structure: optimized geometry

Cell: 16.051 16.051 16.051 Å, 90.00 90.00 90.00°
Space group Ia-3d (No. 230)
Symmetry-distinct sites (fractional):
1 Pm 0.033 0.057 0.648 (multiplicity 96)
2 Mn 0.000 0.250 0.125 (multiplicity 24)
3 C 0.000 0.000 0.000 (multiplicity 16)
4 C 0.000 0.250 0.375 (multiplicity 24)

***

(4)
Compound: Tb3Sm2Al2
Source: Alexandria
Functional: PBE-GGA
Structure: optimized geometry

Cell: 9.215 5.331 8.511 Å, 90.00 111.26 90.00°
Space group C2/m (No. 12)
Symmetry-distinct sites (fractional):
1 Tb 0.000 0.000 0.000 (multiplicity 2)
2 Tb 0.153 0.000 0.458 (multiplicity 4)
3 Sm 0.085 0.500 0.754 (multiplicity 4)
4 Al 0.219 0.500 0.157 (multiplicity 4)

***

The records above yield DOS at the Fermi energy values of 24.884; 4.290; 186.022; 8.478 states/eV/cell, respectively.
The records above yield E_form values of -0.067; 0.398; 0.270; -0.195 eV per atom, respectively.